# Mg3HgC, relaxed, DFT PBE
# Excess energy over the best structure of this formula in the dataset: 0.0 meV/atom
data_Mg3HgC
_cell_length_a 4.455
_cell_length_b 4.455
_cell_length_c 4.455
_cell_angle_alpha 90.00
_cell_angle_beta 90.00
_cell_angle_gamma 90.00
_symmetry_space_group_name_H-M 'P m -3 m'
_symmetry_Int_Tables_number 221
_symmetry_space_group_name_Hall '-P 4 2 3'
loop_
_atom_site_label
_atom_site_type_symbol
_atom_site_fract_x
_atom_site_fract_y
_atom_site_fract_z
Mg1 Mg 0.000 0.000 0.500
Hg1 Hg 0.500 0.500 0.500
C1 C 0.000 0.000 0.000



# MgHgC, relaxed, DFT PBE
# VASP energy: -3.405 eV per atom
data_MgHgC
_cell_length_a 3.661
_cell_length_b 4.196
_cell_length_c 8.767
_cell_angle_alpha 103.84
_cell_angle_beta 90.42
_cell_angle_gamma 93.13
_symmetry_space_group_name_H-M 'P 1'
_symmetry_Int_Tables_number 1
loop_
_symmetry_equiv_pos_as_xyz
'x,y,z'
loop_
_atom_site_label
_atom_site_type_symbol
_atom_site_fract_x
_atom_site_fract_y
_atom_site_fract_z
Mg1 Mg 0.000 0.000 0.000
Mg2 Mg 0.438 0.712 0.315
Hg1 Hg 0.916 0.885 0.665
Hg2 Hg 0.944 0.259 0.408
C1 C 0.295 0.477 0.043
C2 C 0.508 0.725 0.045



# MgHgC, relaxed, DFT PBE
# VASP energy: -3.474 eV per atom
data_MgHgC
_cell_length_a 5.978
_cell_length_b 3.450
_cell_length_c 10.713
_cell_angle_alpha 90.00
_cell_angle_beta 90.01
_cell_angle_gamma 90.00
_symmetry_space_group_name_H-M 'C 1 2/m 1'
_symmetry_Int_Tables_number 12
loop_
_symmetry_equiv_pos_as_xyz
'x,y,z'
'-x,-y,-z'
'-x,y,-z'
'x,-y,z'
'x+1/2,y+1/2,z'
'-x+1/2,-y+1/2,-z'
'-x+1/2,y+1/2,-z'
'x+1/2,-y+1/2,z'
loop_
_atom_site_label
_atom_site_type_symbol
_atom_site_fract_x
_atom_site_fract_y
_atom_site_fract_z
Mg1 Mg 0.167 0.000 0.158
Hg1 Hg 0.167 0.000 0.618
C1 C 0.000 0.500 0.060



For the records above, the corresponding Fermi-level density of states values read 1.78 1.55 3.95 states/eV/cell.